Compound: Tm4PuN4
Source: the Alexandria database
Functional: PBE
Structure: optimized geometry

```
9
Lattice="-3.8533 3.8533 2.4081 3.8533 -3.8533 2.4081 3.8533 3.8533 -2.4081" Properties=species:S:1:pos:R:3 pbc="T T T"
Tm 2.3954 0.8203 0.0000
Tm 3.0330 -1.4578 2.4081
Tm 0.8203 5.3111 0.0000
Tm 1.4578 3.0330 2.4081
Pu 0.0000 0.0000 2.4081
N 4.6142 1.5421 0.0000
N 1.5421 3.0923 0.0000
N 2.3112 0.7609 2.4081
N -0.7609 2.3112 2.4081
```

Compound: TmPu2N3
Source: the Alexandria database
Functional: PBE
Structure: optimized geometry

```
6
Lattice="-1.7335 1.7335 7.3001 1.7335 -1.7335 7.3001 1.7335 1.7335 -7.3001" Properties=species:S:1:pos:R:3 pbc="T T T"
Tm 0.0000 0.0000 0.0000
Pu 0.0000 0.0000 4.8903
Pu 0.0000 0.0000 9.7098
N 0.0000 0.0000 2.4182
N 0.0000 0.0000 7.3001
N 0.0000 0.0000 12.1819
```

| no. | calculated total energy (eV per atom) | ΔE_f (raw) (kJ per mole of atoms) | size of the total moment (Bohr magnetons per cell) |
| --- | --- | --- | --- |
| 1 | -8.726 | -140 | 5.4 |
| 2 | -11.113 | -138 | 9.6 |